Entry 1:
A PBEsol-optimized structure of Ba2TeO, computed with meta-GGA SCAN.

Summary:
ΔE to the lowest computed polymorph in meV per atom: 0
Uncorrected formation energy in eV per atom: -2.40

abc: 5.0330 5.0330 9.9879
angles: 90.00 90.00 90.00
Sites, in units of the cell vectors:
Te1 0.5000 0.0000 0.2016
Te2 0.0000 0.5000 0.7984
Ba1 0.5000 0.0000 0.8350
Ba2 0.0000 0.5000 0.1650
Ba3 0.0000 0.0000 0.5000
Ba4 0.5000 0.5000 0.5000
O1 0.0000 0.5000 0.4111
O2 0.5000 0.0000 0.5889

=====

Entry 2:
A PBEsol-optimized structure of BaTe3O7, computed with meta-GGA SCAN.

Summary:
Uncorrected formation energy in eV per atom: -1.59

abc: 5.2767 10.2916 13.3202
angles: 101.01 90.00 90.00
Sites, in units of the cell vectors:
O1 0.9782 0.0784 0.4175
O2 0.8582 0.0115 0.7663
O3 0.1418 0.9885 0.2337
O4 0.3525 0.5316 0.4313
O5 0.7615 0.7129 0.4678
O6 0.7385 0.2129 0.9678
O7 0.3582 0.4885 0.7337
O8 0.7745 0.3523 0.7916
O9 0.7255 0.8523 0.2916
O10 0.4782 0.4216 0.0825
O11 0.6217 0.2968 0.3745
O12 0.0188 0.5671 0.9080
O13 0.6475 0.4684 0.5687
O14 0.3783 0.7032 0.6255
O15 0.5188 0.9329 0.5920
O16 0.2385 0.2871 0.5322
O17 0.2615 0.7871 0.0322
O18 0.2255 0.6477 0.2084
O19 0.4812 0.0671 0.4080
O20 0.2745 0.1477 0.7084
O21 0.5218 0.5784 0.9175
O22 0.9812 0.4329 0.0920
O23 0.8783 0.7968 0.8745
O24 0.8525 0.9684 0.0687
O25 0.6418 0.5115 0.2663
O26 0.0218 0.9216 0.5825
O27 0.1475 0.0316 0.9313
O28 0.1217 0.2032 0.1255
Te1 0.7924 0.9866 0.9097
Te2 0.7326 0.7880 0.6083
Te3 0.2780 0.4691 0.2068
Te4 0.7674 0.2880 0.1083
Te5 0.2220 0.9691 0.7068
Te6 0.7220 0.5309 0.7932
Te7 0.7076 0.4866 0.4097
Te8 0.2076 0.0134 0.0903
Te9 0.2674 0.2120 0.3917
Te10 0.7780 0.0309 0.2932
Te11 0.2924 0.5134 0.5903
Te12 0.2326 0.7120 0.8917
Ba1 0.7605 0.6799 0.1072
Ba2 0.7395 0.1799 0.6072
Ba3 0.2395 0.3201 0.8928
Ba4 0.2605 0.8201 0.3928

=====

- uncorrected formation energy of number 2 (BaTe3O7)?
  -1.59 eV per atom

=====

Please write out number 1 again, unchanged.
A PBEsol-optimized structure of Ba2TeO, computed with meta-GGA SCAN.

Summary:
ΔE to the lowest computed polymorph in meV per atom: 0
Uncorrected formation energy in eV per atom: -2.40

abc: 5.0330 5.0330 9.9879
angles: 90.00 90.00 90.00
Sites, in units of the cell vectors:
Te1 0.5000 0.0000 0.2016
Te2 0.0000 0.5000 0.7984
Ba1 0.5000 0.0000 0.8350
Ba2 0.0000 0.5000 0.1650
Ba3 0.0000 0.0000 0.5000
Ba4 0.5000 0.5000 0.5000
O1 0.0000 0.5000 0.4111
O2 0.5000 0.0000 0.5889

=====

- What is the uncorrected formation energy in the second record?
  -1.59 eV per atom